# ZrNi3Se

An optimized crystal structure of ZrNi3Se (PBE-GGA, Alexandria).

Cell and atoms, written as POSCAR:
```
ZrNi3Se
1.0
4.336 0.000 0.000
0.000 4.336 0.000
0.000 0.000 4.336
Ni Se Zr
3 1 1
direct
0.500 0.000 0.000 Ni
0.000 0.500 0.000 Ni
0.000 0.000 0.500 Ni
0.000 0.000 0.000 Se
0.500 0.500 0.500 Zr
```

Summary:
As for the volume: 16.31 A^3/atom. The space group is Pm-3m (221). The uncorrected formation energy comes out at 0.18 eV per atom. The size of the total moment comes out at 0.000 μB/f.u. The excess energy over the best structure of this formula in the dataset is 0 meV per atom.

***

# Ce3NdDy2N6

An optimized crystal structure of Ce3NdDy2N6 (PBE-GGA, Alexandria).

Cell and atoms, written as POSCAR:
```
Ce3NdDy2N6
1.0
-3.222 4.139 3.216
-0.314 -5.964 1.478
5.642 1.270 2.056
N Nd Ce Dy
6 1 3 2
direct
0.571 0.915 0.745 N
0.429 0.085 0.255 N
0.740 0.740 0.253 N
0.260 0.260 0.747 N
0.915 0.571 0.745 N
0.085 0.429 0.255 N
0.000 0.000 0.000 Nd
0.500 0.500 0.500 Ce
0.833 0.167 0.500 Ce
0.167 0.833 0.500 Ce
0.667 0.333 0.000 Dy
0.333 0.667 0.000 Dy
```

Summary:
As for the volume: 15.80 A^3/atom. The space group is C2/m (12). The uncorrected formation energy comes out at -1.54 eV per atom. The size of the total moment comes out at 0.469 μB/f.u.

***

# Te2Pt3

An optimized crystal structure of Te2Pt3 (PBE-GGA, Alexandria).

Cell and atoms, written as POSCAR:
```
Te2Pt3
1.0
1.892 -3.278 0.000
1.892 3.278 0.000
0.000 0.000 8.413
Te Pt
2 3
direct
0.333 0.667 0.793 Te
0.667 0.333 0.207 Te
0.333 0.667 0.400 Pt
0.000 0.000 0.000 Pt
0.667 0.333 0.600 Pt
```

Summary:
As for the volume: 20.88 A^3/atom. The space group is P-3m1 (164). The uncorrected formation energy comes out at -0.05 eV per atom. The size of the total moment comes out at 0.000 μB/f.u.

***

# BaZn5Pt2

An optimized crystal structure of BaZn5Pt2 (PBE-GGA, Alexandria).

Cell and atoms, written as POSCAR:
```
BaZn5Pt2
1.0
4.301 0.000 0.000
2.151 6.384 0.426
2.151 1.592 6.197
Zn Ba Pt
5 1 2
direct
0.327 0.492 0.854 Zn
0.673 0.508 0.146 Zn
0.673 0.146 0.508 Zn
0.327 0.854 0.492 Zn
0.000 0.500 0.500 Zn
0.000 0.000 0.000 Ba
0.238 0.262 0.262 Pt
0.762 0.738 0.738 Pt
```

Summary:
As for the volume: 20.91 A^3/atom. The space group is Immm (71). Its formation energy is -448 meV per atom. The size of the total moment comes out at 0.000 μB/f.u.

***

# ScAlP

An optimized crystal structure of ScAlP (PBE-GGA, Alexandria).

Cell and atoms, written as POSCAR:
```
ScAlP
1.0
4.349 0.000 0.000
2.174 3.766 0.000
2.174 1.255 3.551
Sc Al P
1 1 1
direct
0.000 0.000 0.000 Sc
0.500 0.500 0.500 Al
0.750 0.750 0.750 P
```

Summary:
As for the volume: 19.38 A^3/atom. The space group is F-43m (216). Its formation energy is -284 meV per atom. The size of the total moment comes out at 0.003 μB/f.u.

***

# EuTmLu2

An optimized crystal structure of EuTmLu2 (PBE-GGA, Alexandria).

Cell and atoms, written as POSCAR:
```
EuTmLu2
1.0
3.871 0.000 0.000
0.000 5.720 0.000
0.000 0.000 5.720
Lu Eu Tm
2 1 1
direct
0.000 0.000 0.500 Lu
0.000 0.500 0.000 Lu
0.500 0.500 0.500 Eu
0.500 0.000 0.000 Tm
```

Summary:
As for the volume: 31.67 A^3/atom. The space group is P4/mmm (123). Its formation energy is 167 meV per atom. The size of the total moment comes out at 7.475 μB/f.u. The excess energy over the best structure of this formula in the dataset is 86 meV per atom.

***

# Pr2NdDyY5

An optimized crystal structure of Pr2NdDyY5 (PBE-GGA, Alexandria).

Cell and atoms, written as POSCAR:
```
Pr2NdDyY5
1.0
8.679 0.000 0.000
0.000 8.679 0.000
-4.339 -4.339 7.946
Y Dy Pr Nd
10 2 4 2
direct
0.000 0.000 0.000 Y
0.652 0.152 0.721 Y
0.500 0.500 0.000 Y
0.569 0.652 0.721 Y
0.152 0.069 0.721 Y
0.348 0.848 0.279 Y
0.848 0.931 0.279 Y
0.069 0.569 0.721 Y
0.931 0.431 0.279 Y
0.431 0.348 0.279 Y
0.750 0.750 0.500 Dy
0.250 0.250 0.500 Dy
0.381 0.881 0.000 Pr
0.881 0.619 0.000 Pr
0.119 0.381 0.000 Pr
0.619 0.119 0.000 Pr
0.750 0.250 0.500 Nd
0.250 0.750 0.500 Nd
```

Summary:
As for the volume: 33.25 A^3/atom. The space group is I4/mcm (140). Its formation energy is 242 meV per atom. The size of the total moment comes out at 0.000 μB/f.u.

***

# H3PtI

An optimized crystal structure of H3PtI (PBE-GGA, Alexandria).

Cell and atoms, written as POSCAR:
```
H3PtI
1.0
3.953 0.000 0.000
0.000 3.953 0.000
0.000 0.000 3.953
I H Pt
1 3 1
direct
0.000 0.000 0.000 I
0.000 0.000 0.500 H
0.500 0.000 0.000 H
0.000 0.500 0.000 H
0.500 0.500 0.500 Pt
```

Summary:
As for the volume: 12.36 A^3/atom. The space group is Pm-3m (221). The size of the total moment comes out at 0.000 μB/f.u. The excess energy over the best structure of this formula in the dataset is 1348 meV per atom.

***

# LiGdThW

An optimized crystal structure of LiGdThW (PBE-GGA, Alexandria).

Cell and atoms, written as POSCAR:
```
LiGdThW
1.0
-3.471 -1.303 3.437
-3.389 -3.597 -1.068
0.278 -4.497 2.294
Gd Th W Li
1 1 1 1
direct
0.000 0.000 0.000 Gd
0.500 0.500 0.500 Th
0.250 0.250 0.250 W
0.750 0.750 0.750 Li
```

Summary:
As for the volume: 22.84 A^3/atom. The space group is F-43m (216). Its formation energy is 258 meV per atom. The size of the total moment comes out at 7.039 μB/f.u.

***

# TbAs2Pd3

An optimized crystal structure of TbAs2Pd3 (PBE-GGA, Alexandria).

Cell and atoms, written as POSCAR:
```
TbAs2Pd3
1.0
-3.304 -0.459 -2.352
-2.425 -3.291 7.590
-1.646 9.903 0.381
As Pd Tb
6 9 3
direct
0.364 0.727 0.546 As
0.636 0.273 0.454 As
0.801 0.602 0.869 As
0.459 0.919 0.211 As
0.199 0.398 0.131 As
0.541 0.081 0.789 As
0.681 0.362 0.965 Pd
0.958 0.917 0.670 Pd
0.381 0.762 0.805 Pd
0.222 0.443 0.388 Pd
0.319 0.638 0.035 Pd
0.500 0.000 0.500 Pd
0.619 0.238 0.195 Pd
0.778 0.557 0.612 Pd
0.042 0.083 0.330 Pd
0.000 0.000 0.000 Tb
0.848 0.697 0.303 Tb
0.152 0.303 0.697 Tb
```

Summary:
As for the volume: 18.17 A^3/atom. The space group is C2/m (12). Its formation energy is -789 meV per atom. The size of the total moment comes out at 0.000 μB/f.u.

***

# MnZn2Fe

An optimized crystal structure of MnZn2Fe (PBE-GGA, Alexandria).

Cell and atoms, written as POSCAR:
```
MnZn2Fe
1.0
-0.496 -1.182 -4.367
-1.972 -4.097 -0.187
-1.155 3.792 2.237
Zn Fe Mn
2 1 1
direct
0.000 0.000 0.000 Zn
0.500 0.500 0.000 Zn
0.250 0.750 0.500 Fe
0.750 0.250 0.500 Mn
```

Summary:
As for the volume: 13.01 A^3/atom. The space group is I4/mmm (139). Its formation energy is 15 meV per atom. The size of the total moment comes out at 5.140 μB/f.u. The excess energy over the best structure of this formula in the dataset is 0 meV per atom.

***

# Mo2Se

An optimized crystal structure of Mo2Se (PBE-GGA, Alexandria).

Cell and atoms, written as POSCAR:
```
Mo2Se
1.0
1.548 -7.043 0.000
1.548 7.043 0.000
0.000 0.000 4.465
Mo Se
4 2
direct
0.211 0.789 0.250 Mo
0.789 0.211 0.750 Mo
0.545 0.455 0.250 Mo
0.455 0.545 0.750 Mo
0.122 0.878 0.750 Se
0.878 0.122 0.250 Se
```

Summary:
As for the volume: 16.22 A^3/atom. The space group is Cmcm (63). The uncorrected formation energy comes out at 0.30 eV per atom. The size of the total moment comes out at 0.000 μB/f.u. The excess energy over the best structure of this formula in the dataset is 389 meV per atom.

***

What did we get for total DFT energy (no corrections)? Answer: -28.49, -100.24, -24.66, -23.95, -16.34, -23.12, -98.15, -10.74, -35.34, -102.72, -20.12, -48.52 eV for the cell shown, in the order shown.